(1)
This record from the Alexandria database describes a relaxed structure of Hg2SbRh. The functional is PBEsol.

Values from the calculation:
As for the space group: I-4m2. As for the total energy: -3.276 eV per atom. The value obtained for the density of states at the Fermi level is 2.441 states/eV per cell. The density comes out at 13.3 Mg/m³.

Cell: 5.1781 5.1781 5.1781 Å, 130.75 130.75 72.21°
Last column: nearest neighbours and their distance in Å.
Element x y z (fractional)
Hg1 0.0000 0.0000 0.0000  4 Hg 3.01, 4 Sb 3.01, 4 Rh 3.05
Hg2 0.7500 0.2500 0.5000  4 Hg 3.01, 4 Rh 3.01, 4 Sb 3.05
Sb1 0.2500 0.7500 0.5000  8 Hg 3.01-3.05, 4 Rh 3.01
Rh1 0.5000 0.5000 0.0000  8 Hg 3.01-3.05, 4 Sb 3.01


(2)
This record from the Alexandria database describes a relaxed structure of SiOsSe2. The functional is PBEsol.

Values from the calculation:
As for the space group: Cmmm. As for the total energy: -6.312 eV per atom. The value obtained for the density of states at the Fermi level is 1.130 states/eV per cell. The density comes out at 8.2 Mg/m³.

Cell: 4.8849 4.8849 3.8047 Å, 90.00 90.00 122.44°
Last column: nearest neighbours and their distance in Å.
Element x y z (fractional)
Si1 0.0000 0.0000 0.0000  2 Os 2.35
Os1 0.5000 0.5000 0.0000  2 Si 2.35, 4 Se 2.48
Se1 0.3135 0.6865 0.5000  2 Os 2.48, 2 Se 2.59
Se2 0.6865 0.3135 0.5000  2 Os 2.48, 2 Se 2.59


(3)
This record from the Alexandria database describes a relaxed structure of LaCr2Ni. The functional is PBEsol.

Values from the calculation:
Its formation energy is 745 meV/atom. As for the space group: I4/mmm. The value obtained for the density of states at the Fermi level is 4.134 states/eV per cell. The density comes out at 7.6 Mg/m³.

Cell: 4.6716 4.6716 4.6716 Å, 125.17 125.17 81.26°
Last column: nearest neighbours and their distance in Å.
Element x y z (fractional)
La1 0.0000 0.0000 0.0000  8 Cr 2.79, 4 Ni 3.04
Cr1 0.2500 0.7500 0.5000  4 Ni 2.79, 4 La 2.79, 4 Cr 3.04
Cr2 0.7500 0.2500 0.5000  4 Ni 2.79, 4 La 2.79, 4 Cr 3.04
Ni1 0.5000 0.5000 0.0000  8 Cr 2.79, 4 La 3.04


(4)
This record from the Alexandria database describes a relaxed structure of InPbIO2. The functional is PBEsol.

Values from the calculation:
As for the space group: P4/mmm. As for the total energy: -4.057 eV per atom. The value obtained for the density of states at the Fermi level is 1.850 states/eV per cell. The density comes out at 6.8 Mg/m³.

Cell: 4.3483 4.3483 6.2345 Å, 90.00 90.00 90.00°
Last column: nearest neighbours and their distance in Å.
Element x y z (fractional)
In1 0.0000 0.0000 0.0000  4 I 3.07
Pb1 0.5000 0.5000 0.5000  4 O 2.17
I1 0.5000 0.5000 0.0000  4 In 3.07, 2 Pb 3.12
O1 0.0000 0.5000 0.5000  2 Pb 2.17
O2 0.5000 0.0000 0.5000  2 Pb 2.17